LiVF4, relaxed, DFT PBE+U; density of states at the Fermi level = 0.000 states/eV per cell; DFT total energy = -5.64 eV per atom
1.0
5.240 -4.625 0.000
5.240 4.625 0.000
-2.430 0.000 6.802
Li V F
4 4 16
Direct
0.227 0.227 0.610 Li
0.250 0.750 0.000 Li
0.750 0.250 0.000 Li
0.773 0.773 0.390 Li
0.291 0.291 0.132 V
0.308 0.692 0.500 V
0.692 0.308 0.500 V
0.709 0.709 0.868 V
0.013 0.307 0.103 F
0.035 0.696 0.479 F
0.301 0.603 0.218 F
0.304 0.965 0.521 F
0.307 0.013 0.103 F
0.315 0.315 0.883 F
0.363 0.363 0.448 F
0.397 0.699 0.782 F
0.603 0.301 0.218 F
0.637 0.637 0.552 F
0.685 0.685 0.117 F
0.693 0.987 0.897 F
0.696 0.035 0.479 F
0.699 0.397 0.782 F
0.965 0.304 0.521 F
0.987 0.693 0.897 F